No. 1
Entry from Alexandria via LeMat-Bulk: HfBeRe2 after structural relaxation (PBE).

Cell: 3.8928 3.8928 17.9098 Å, 90.00 90.00 90.00°
With the nearest neighbours (Å) after each atom.
Space group I-42d (No. 122)
Inequivalent atoms, fractional coordinates:
1 Hf 0.0000 0.0000 0.0000 [4 per cell]  4 Re 2.73, 4 Be 2.75
2 Be 0.0000 0.0000 0.5000 [4 per cell]  4 Re 2.54, 4 Hf 2.75
3 Re 0.1843 0.2500 0.6250 [8 per cell]  2 Re 2.42, 2 Be 2.54

## Properties
Total moment: 0.00 μB/atom
Energy: -9.162 eV/atom


No. 2
Entry from Alexandria via LeMat-Bulk: PaGa2Os after structural relaxation (PBE).

Cell: 4.4015 6.9546 5.1637 Å, 90.00 110.61 90.00°
With the nearest neighbours (Å) after each atom.
Space group P2_1/m (No. 11)
Inequivalent atoms, fractional coordinates:
1 Pa 0.0647 0.2500 0.1779 [2 per cell]  2 Os 2.65-2.80
2 Ga 0.3931 0.0516 0.7374 [4 per cell]  3 Os 2.63-2.78, 2 Ga 2.64-2.76
3 Os 0.1463 0.7500 0.3697 [2 per cell]  6 Ga 2.63-2.78, 2 Pa 2.65-2.80

## Properties
Distance to the lowest polymorph of the same formula: 0.0 meV per atom
Total moment: 0.00 μB/atom
Energy: -7.097 eV/atom


No. 3
Entry from Alexandria via LeMat-Bulk: ZrTl4Zn after structural relaxation (PBE).

Cell: 8.7074 8.7074 8.7074 Å, 90.00 90.00 90.00°
With the nearest neighbours (Å) after each atom.
Space group F-43m (No. 216)
Inequivalent atoms, fractional coordinates:
1 Zr 0.0000 0.0000 0.0000 [4 per cell]  12 Tl 3.61, 4 Zn 3.77
2 Tl 0.1250 0.1250 0.6250 [16 per cell]  6 Tl 3.08
3 Zn 0.2500 0.2500 0.2500 [4 per cell]  12 Tl 3.61, 4 Zr 3.77

## Properties
Total moment: 0.30 μB/atom
Energy: -2.686 eV/atom


No. 4
Entry from Alexandria via LeMat-Bulk: TbTeS after structural relaxation (PBE).

Cell: 4.5260 4.5260 5.6118 Å, 90.00 90.00 120.00°
With the nearest neighbours (Å) after each atom.
Space group P-6m2 (No. 187)
Inequivalent atoms, fractional coordinates:
1 Tb 0.0000 0.0000 0.0000 [1 per cell]  3 S 2.61
2 Te 0.3333 0.6667 0.5000 [1 per cell]  2 S 2.81
3 S 0.3333 0.6667 0.0000 [1 per cell]  3 Tb 2.61, 2 Te 2.81

## Properties
Distance to the lowest polymorph of the same formula: 677.4 meV per atom
Total moment: 0.00 μB/atom
Energy: -4.807 eV/atom


Look up the total moment of the first one.
0.00 μB/atom